Entry from Alexandria: an optimized crystal structure of Ru2AuCl (PBE).

```
Ru2AuCl
1.0
0.000 3.189 3.189
3.189 0.000 3.189
3.189 3.189 0.000
Ru Au Cl
2 1 1
direct
0.250 0.250 0.250
0.750 0.750 0.750
0.000 0.000 0.000
0.500 0.500 0.500
```

## Properties
Calculated volume (Å³ per cell): 65
Magnetization (μB/atom): 0.945
Formation energy (no corrections) (eV/atom): 1.00
Polymorph energy (0 for the lowest one) (eV per atom): 0.787
Final energy (eV/atom): -4.92

Entry from Alexandria: an optimized crystal structure of RuAu2Cl (PBE).

```
RuAu2Cl
1.0
-2.331 2.331 3.305
2.331 -2.331 3.305
2.331 2.331 -3.305
Ru Au Cl
1 2 1
direct
0.000 0.000 0.000
0.250 0.750 0.500
0.500 0.500 0.000
0.750 0.250 0.500
```

## Properties
Calculated volume (Å³ per cell): 72
Magnetization (μB/atom): 0.634
Formation energy (no corrections) (eV/atom): 0.70
Polymorph energy (0 for the lowest one) (eV per atom): 0.415
Final energy (eV/atom): -3.72

Entry from Alexandria: an optimized crystal structure of RuAu3Cl9 (PBE).

```
RuAu3Cl9
1.0
9.495 -4.206 0.000
9.495 4.206 0.000
-7.098 0.000 11.183
Ru Au Cl
2 6 18
direct
0.175 0.825 0.500
0.825 0.175 0.000
0.065 0.275 0.741
0.128 0.569 0.566
0.275 0.065 0.241
0.566 0.681 0.183
0.569 0.128 0.066
0.681 0.566 0.683
0.014 0.400 0.453
0.031 0.887 0.013
0.034 0.250 0.115
0.124 0.590 0.394
0.125 0.855 0.325
0.139 0.557 0.738
0.250 0.034 0.615
0.250 0.742 0.676
0.400 0.014 0.953
0.490 0.595 0.495
0.526 0.882 0.369
0.557 0.139 0.238
0.590 0.124 0.894
0.595 0.490 0.995
0.742 0.250 0.176
0.855 0.125 0.825
0.882 0.526 0.869
0.887 0.031 0.513
```

## Properties
Calculated volume (Å³ per cell): 893
Magnetization (μB/atom): 0.157
Formation energy (no corrections) (eV/atom): -0.30
Final energy (eV/atom): -3.04

Entry from Alexandria: an optimized crystal structure of Ru2AuCl (PBE).

```
Ru2AuCl
1.0
2.863 0.000 0.000
0.000 2.863 0.000
0.000 0.000 8.490
Ru Au Cl
2 1 1
direct
0.000 0.000 0.000
0.500 0.500 0.189
0.000 0.000 0.431
0.500 0.500 0.796
```

## Properties
Calculated volume (Å³ per cell): 70
Magnetization (μB/atom): 0.000
Formation energy (no corrections) (eV/atom): 0.26
Polymorph energy (0 for the lowest one) (eV per atom): 0.054
Final energy (eV/atom): -5.66

Entry from Alexandria: an optimized crystal structure of RuAuCl (PBE).

```
RuAuCl
1.0
3.393 0.000 0.000
-1.696 2.938 0.000
0.000 0.000 6.369
Ru Au Cl
1 1 1
direct
0.000 0.000 0.000
0.667 0.333 0.291
0.333 0.667 0.810
```

## Properties
Calculated volume (Å³ per cell): 63
Magnetization (μB/atom): 0.000
Formation energy (no corrections) (eV/atom): 0.30
Polymorph energy (0 for the lowest one) (eV per atom): 0.000
Final energy (eV/atom): -4.50

Entry from Alexandria: an optimized crystal structure of Ru3AuCl (PBE).

```
Ru3AuCl
1.0
4.372 0.000 0.000
0.000 4.372 0.000
0.000 0.000 4.372
Ru Au Cl
3 1 1
direct
0.000 0.000 0.500
0.000 0.500 0.000
0.500 0.000 0.000
0.500 0.500 0.500
0.000 0.000 0.000
```

## Properties
Calculated volume (Å³ per cell): 84
Magnetization (μB/atom): 0.625
Formation energy (no corrections) (eV/atom): 1.12
Polymorph energy (0 for the lowest one) (eV per atom): 0.000
Final energy (eV/atom): -5.47

Entry from Alexandria: an optimized crystal structure of RuAuCl (PBE).

```
RuAuCl
1.0
0.000 3.213 3.213
3.213 0.000 3.213
3.213 3.213 0.000
Ru Au Cl
1 1 1
direct
0.000 0.000 0.000
0.750 0.750 0.750
0.500 0.500 0.500
```

## Properties
Calculated volume (Å³ per cell): 66
Magnetization (μB/atom): 0.954
Formation energy (no corrections) (eV/atom): 1.17
Polymorph energy (0 for the lowest one) (eV per atom): 0.868
Final energy (eV/atom): -3.63

Entry from Alexandria: an optimized crystal structure of Ru2AuCl (PBE).

```
Ru2AuCl
1.0
2.901 0.000 0.000
0.000 3.931 0.000
-1.198 0.000 5.477
Ru Au Cl
2 1 1
direct
0.124 0.000 0.281
0.876 0.000 0.719
0.500 0.500 0.000
0.000 0.500 0.500
```

## Properties
Calculated volume (Å³ per cell): 62
Magnetization (μB/atom): 0.000
Formation energy (no corrections) (eV/atom): 0.72
Polymorph energy (0 for the lowest one) (eV per atom): 0.507
Final energy (eV/atom): -5.20